Record 1
DFT (PBE) results for CePmNiRu after structural relaxation.

Cell: 3.8312 3.9284 6.0094 Å, 90.00 108.59 90.00°
With the nearest neighbours (Å) after each atom.
Fractional coordinates of all 4 atoms:
1 Ce 0.8700 0.5000 0.7399  4 Ru 2.78, 2 Ni 3.03
2 Pm 0.1432 0.0000 0.2863  4 Ni 2.85, 1 Ru 3.05
3 Ni 0.5758 0.5000 0.1516  2 Ru 2.72, 4 Pm 2.85, 2 Ce 3.03
4 Ru 0.4110 0.0000 0.8221  2 Ni 2.72, 4 Ce 2.78

Properties
E above lowest polymorph	0	meV/atom
formation energy	-0.3569	eV/atom
calculated density	8.62	g/cm³
E_tot	-27.169	eV for the cell shown


Record 2
DFT (PBE) results for Sm11Tl4In9 after structural relaxation.

Cell: 3.7190 14.0664 14.0664 Å, 112.44 90.00 90.00°
With the nearest neighbours (Å) after each atom.
Fractional coordinates of all 24 atoms:
1 Sm 0.0000 0.5958 0.9534  2 Tl 3.28, 6 In 3.31-3.45, 2 Sm 3.42-3.53
2 Sm 0.0000 0.4042 0.0466  2 Tl 3.28, 6 In 3.31-3.45, 2 Sm 3.42-3.53
3 Sm 0.0000 0.9534 0.5958  2 Tl 3.28, 6 In 3.31-3.45, 2 Sm 3.42-3.53
4 Sm 0.0000 0.0466 0.4042  2 Tl 3.28, 6 In 3.31-3.45, 2 Sm 3.42-3.53
5 Sm 0.0000 0.6240 0.3760  4 Tl 3.26, 6 In 3.45
6 Sm 0.0000 0.3760 0.6240  4 Tl 3.26, 6 In 3.45
7 Sm 0.0000 0.8176 0.1824  8 In 3.34, 4 Sm 3.53-3.72
8 Sm 0.0000 0.1824 0.8176  8 In 3.34, 4 Sm 3.53-3.72
9 Sm 0.0000 0.0000 0.0000  8 In 3.31, 2 Sm 3.69
10 Sm 0.0000 0.7642 0.7642  4 Tl 3.22, 4 In 3.42
11 Sm 0.0000 0.2358 0.2358  4 Tl 3.22, 4 In 3.42
12 Tl 0.5000 0.5738 0.7536  6 Sm 3.22-3.28, 3 In 3.26-3.52
13 Tl 0.5000 0.4262 0.2464  6 Sm 3.22-3.28, 3 In 3.26-3.52
14 Tl 0.5000 0.7536 0.5738  6 Sm 3.22-3.28, 3 In 3.26-3.52
15 Tl 0.5000 0.2464 0.4262  6 Sm 3.22-3.28, 3 In 3.26-3.52
16 In 0.5000 0.6151 0.1664  1 Tl 3.26, 8 Sm 3.34-3.45, 1 In 3.42
17 In 0.5000 0.3849 0.8336  1 Tl 3.26, 8 Sm 3.34-3.45, 1 In 3.42
18 In 0.5000 0.1664 0.6151  1 Tl 3.26, 8 Sm 3.34-3.45, 1 In 3.42
19 In 0.5000 0.8336 0.3849  1 Tl 3.26, 8 Sm 3.34-3.45, 1 In 3.42
20 In 0.5000 0.7986 0.9790  8 Sm 3.31-3.42, 1 In 3.48, 1 Tl 3.52
21 In 0.5000 0.2014 0.0210  8 Sm 3.31-3.42, 1 In 3.48, 1 Tl 3.52
22 In 0.5000 0.9790 0.7986  8 Sm 3.31-3.42, 1 In 3.48, 1 Tl 3.52
23 In 0.5000 0.0210 0.2014  8 Sm 3.31-3.42, 1 In 3.48, 1 Tl 3.52
24 In 0.5000 0.5000 0.5000  4 Tl 3.31, 4 Sm 3.45

Properties
formation energy	-0.4115	eV/atom
calculated density	8.56	g/cm³
E_tot	-95.897	eV for the cell shown


Record 3
DFT (PBE) results for KRb2PaI8 after structural relaxation.

Cell: 9.3420 7.0301 10.3827 Å, 79.43 81.72 98.76°
With the nearest neighbours (Å) after each atom.
Fractional coordinates of all 12 atoms:
1 K 0.0000 0.0000 0.5000  6 I 3.43-3.81
2 Rb 0.5265 0.2133 0.6865  6 I 3.60-3.94
3 Rb 0.4735 0.7867 0.3135  6 I 3.60-3.94
4 Pa 0.0000 0.0000 0.0000  6 I 2.94-2.98
5 I 0.0761 0.7253 0.2238  1 Pa 2.98
6 I 0.7310 0.7189 0.0046  1 Pa 2.94
7 I 0.8349 0.1800 0.1957  1 Pa 2.96
8 I 0.9239 0.2747 0.7762  1 Pa 2.98
9 I 0.2690 0.2811 0.9954  1 Pa 2.94
10 I 0.1651 0.8200 0.8043  1 Pa 2.96
11 I 0.6427 0.7586 0.6053  1 K 3.43, 3 Rb 3.60-3.73
12 I 0.3573 0.2414 0.3947  1 K 3.43, 3 Rb 3.60-3.73

Properties
calculated density	3.71	g/cm³
E_tot	-39.255	eV for the cell shown


Record 4
DFT (PBE) results for BeFeNi2H after structural relaxation.

Cell: 3.4983 3.4983 3.6034 Å, 90.00 90.00 90.00°
With the nearest neighbours (Å) after each atom.
Fractional coordinates of all 5 atoms:
1 Ni 0.0000 0.5000 0.0000  2 H 1.75
2 Ni 0.5000 0.0000 0.0000  2 H 1.75
3 Fe 0.0000 0.0000 0.5000  2 H 1.80
4 H 0.0000 0.0000 0.0000  4 Ni 1.75, 2 Fe 1.80
5 Be 0.5000 0.5000 0.5000  4 Fe 2.47, 8 Ni 2.51

Properties
E above lowest polymorph	0	meV/atom
calculated density	6.90	g/cm³
E_tot	-27.435	eV for the cell shown